No. 1
# PmAg2BiSe4, optimized geometry, DFT PBE
data_PmAg2BiSe4
_chemical_formula_sum 'Pm1 Ag2 Bi1 Se4'
_symmetry_space_group_name_H-M 'P 1'
_symmetry_Int_Tables_number 1
_cell_length_a 4.2464
_cell_length_b 6.9668
_cell_length_c 7.3550
_cell_angle_alpha 69.11
_cell_angle_beta 90.00
_cell_angle_gamma 90.00
loop_
_symmetry_equiv_pos_as_xyz
'x,y,z'
loop_
_atom_site_label
_atom_site_type_symbol
_atom_site_fract_x
_atom_site_fract_y
_atom_site_fract_z
Se1 Se 0.5000 0.7543 0.2477
Se2 Se 0.5000 0.2457 0.7523
Se3 Se 0.0000 0.2392 0.2544
Se4 Se 0.0000 0.7608 0.7456
Bi1 Bi 0.5000 0.5000 0.0000
Ag1 Ag 0.5000 0.0000 0.5000
Ag2 Ag 0.0000 0.0000 0.0000
Pm1 Pm 0.0000 0.5000 0.5000
# - Symmetry: P2/m
# - Total DFT energy (no corrections): -4.240 eV/atom

No. 2
# TlAgSe2, optimized geometry, DFT PBE
data_TlAgSe2
_chemical_formula_sum 'Tl8 Ag8 Se16'
_symmetry_space_group_name_H-M 'P 1'
_symmetry_Int_Tables_number 1
_cell_length_a 17.2186
_cell_length_b 8.2713
_cell_length_c 8.2713
_cell_angle_alpha 90.29
_cell_angle_beta 116.03
_cell_angle_gamma 63.97
loop_
_symmetry_equiv_pos_as_xyz
'x,y,z'
loop_
_atom_site_label
_atom_site_type_symbol
_atom_site_fract_x
_atom_site_fract_y
_atom_site_fract_z
Se1 Se 0.0103 0.8683 0.1780
Se2 Se 0.7664 0.5471 0.7619
Se3 Se 0.2664 0.7381 0.9529
Se4 Se 0.5641 0.8755 0.9765
Se5 Se 0.2500 0.2675 0.7675
Se6 Se 0.2500 0.9082 0.4082
Se7 Se 0.7336 0.2619 0.0471
Se8 Se 0.5103 0.3220 0.6317
Se9 Se 0.9897 0.1317 0.8220
Se10 Se 0.4359 0.1245 0.0235
Se11 Se 0.7500 0.0918 0.5918
Se12 Se 0.7500 0.7325 0.2325
Se13 Se 0.2336 0.4529 0.2381
Se14 Se 0.4897 0.6780 0.3683
Se15 Se 0.9359 0.4765 0.3755
Se16 Se 0.0641 0.5235 0.6245
Ag1 Ag 0.1495 0.5419 0.4398
Ag2 Ag 0.3505 0.9398 0.0419
Ag3 Ag 0.6335 0.4459 0.6921
Ag4 Ag 0.3665 0.5541 0.3079
Ag5 Ag 0.1335 0.8079 0.0541
Ag6 Ag 0.8505 0.4581 0.5602
Ag7 Ag 0.8665 0.1921 0.9459
Ag8 Ag 0.6495 0.0602 0.9581
Tl1 Tl 0.6150 0.9275 0.4808
Tl2 Tl 0.5877 0.3482 0.2222
Tl3 Tl 0.8850 0.9808 0.4275
Tl4 Tl 0.9123 0.7222 0.8482
Tl5 Tl 0.4123 0.6518 0.7778
Tl6 Tl 0.0877 0.2778 0.1518
Tl7 Tl 0.3850 0.0725 0.5192
Tl8 Tl 0.1150 0.0192 0.5725
# - Symmetry: C2/c
# - Total DFT energy (no corrections): -3.130 eV/atom

No. 3
# BaZnP2S, optimized geometry, DFT PBE
data_BaZnP2S
_chemical_formula_sum 'Ba1 Zn1 P2 S1'
_symmetry_space_group_name_H-M 'P 1'
_symmetry_Int_Tables_number 1
_cell_length_a 4.7107
_cell_length_b 4.7107
_cell_length_c 5.2310
_cell_angle_alpha 90.00
_cell_angle_beta 90.00
_cell_angle_gamma 90.00
loop_
_symmetry_equiv_pos_as_xyz
'x,y,z'
loop_
_atom_site_label
_atom_site_type_symbol
_atom_site_fract_x
_atom_site_fract_y
_atom_site_fract_z
S1 S 0.0000 0.0000 0.5000
Zn1 Zn 0.0000 0.0000 0.0000
P1 P 0.5000 0.0000 0.0000
P2 P 0.0000 0.5000 0.0000
Ba1 Ba 0.5000 0.5000 0.5000
# - Symmetry: P4/mmm
# - Energy above the lowest structure with this stoichiometry: 0.000 eV/atom

No. 4
# NpTcHgO6, optimized geometry, DFT PBE
data_NpTcHgO6
_chemical_formula_sum 'Np2 Tc2 Hg2 O12'
_symmetry_space_group_name_H-M 'P 1'
_symmetry_Int_Tables_number 1
_cell_length_a 7.8425
_cell_length_b 7.2896
_cell_length_c 7.5939
_cell_angle_alpha 118.68
_cell_angle_beta 121.09
_cell_angle_gamma 90.00
loop_
_symmetry_equiv_pos_as_xyz
'x,y,z'
loop_
_atom_site_label
_atom_site_type_symbol
_atom_site_fract_x
_atom_site_fract_y
_atom_site_fract_z
O1 O 0.4478 0.6793 0.2435
O2 O 0.4515 0.7015 0.9031
O3 O 0.1843 0.9343 0.3686
O4 O 0.7957 0.0643 0.2435
O5 O 0.4478 0.0643 0.2435
O6 O 0.8157 0.0657 0.6314
O7 O 0.5485 0.2985 0.0969
O8 O 0.7957 0.6793 0.2435
O9 O 0.2043 0.3207 0.7565
O10 O 0.2043 0.9357 0.7565
O11 O 0.5522 0.3207 0.7565
O12 O 0.5522 0.9357 0.7565
Hg1 Hg 0.1485 0.3985 0.2970
Hg2 Hg 0.8515 0.6015 0.7030
Np1 Np 0.5000 0.0000 0.5000
Np2 Np 0.0000 0.0000 0.5000
Tc1 Tc 0.5000 0.0000 0.0000
Tc2 Tc 0.5000 0.5000 0.0000
# - Symmetry: Imma
# - Total DFT energy (no corrections): -7.621 eV/atom

No. 5
# CaNdPb4, optimized geometry, DFT PBE
data_CaNdPb4
_chemical_formula_sum 'Ca1 Nd1 Pb4'
_symmetry_space_group_name_H-M 'P 1'
_symmetry_Int_Tables_number 1
_cell_length_a 6.5009
_cell_length_b 6.5009
_cell_length_c 6.5009
_cell_angle_alpha 60.00
_cell_angle_beta 60.00
_cell_angle_gamma 60.00
loop_
_symmetry_equiv_pos_as_xyz
'x,y,z'
loop_
_atom_site_label
_atom_site_type_symbol
_atom_site_fract_x
_atom_site_fract_y
_atom_site_fract_z
Pb1 Pb 0.6253 0.6253 0.1241
Pb2 Pb 0.1241 0.6253 0.6253
Pb3 Pb 0.6253 0.1241 0.6253
Pb4 Pb 0.6253 0.6253 0.6253
Ca1 Ca 0.2500 0.2500 0.2500
Nd1 Nd 0.0000 0.0000 0.0000
# - Symmetry: F-43m
# - E_form: -0.224 eV/atom

No. 6
# RbV2Se, optimized geometry, DFT PBE
data_RbV2Se
_chemical_formula_sum 'Rb2 V4 Se2'
_symmetry_space_group_name_H-M 'P 1'
_symmetry_Int_Tables_number 1
_cell_length_a 4.7144
_cell_length_b 4.7144
_cell_length_c 9.7777
_cell_angle_alpha 76.05
_cell_angle_beta 76.05
_cell_angle_gamma 90.00
loop_
_symmetry_equiv_pos_as_xyz
'x,y,z'
loop_
_atom_site_label
_atom_site_type_symbol
_atom_site_fract_x
_atom_site_fract_y
_atom_site_fract_z
V1 V 0.3750 0.6250 0.7500
V2 V 0.3750 0.1250 0.2500
V3 V 0.3750 0.6250 0.2500
V4 V 0.8750 0.6250 0.7500
Se1 Se 0.2500 0.7500 0.5000
Se2 Se 0.5000 0.5000 0.0000
Rb1 Rb 0.0000 0.0000 0.0000
Rb2 Rb 0.7500 0.2500 0.5000
# - Symmetry: I4_1/amd
# - Total DFT energy (no corrections): -5.058 eV/atom

No. 7
# Cu3S, optimized geometry, DFT PBE
data_Cu3S
_chemical_formula_sum 'Cu3 S1'
_symmetry_space_group_name_H-M 'P 1'
_symmetry_Int_Tables_number 1
_cell_length_a 3.7009
_cell_length_b 3.7009
_cell_length_c 3.7009
_cell_angle_alpha 90.00
_cell_angle_beta 90.00
_cell_angle_gamma 90.00
loop_
_symmetry_equiv_pos_as_xyz
'x,y,z'
loop_
_atom_site_label
_atom_site_type_symbol
_atom_site_fract_x
_atom_site_fract_y
_atom_site_fract_z
Cu1 Cu 0.5000 0.5000 0.0000
Cu2 Cu 0.5000 0.0000 0.5000
Cu3 Cu 0.0000 0.5000 0.5000
S1 S 0.0000 0.0000 0.0000
# - Symmetry: Pm-3m
# - Total DFT energy (no corrections): -4.002 eV/atom